(1)
A plane-wave DFT calculation with PBE was carried out for a geometry-optimized YMnCu2 structure.

Cell: 4.110 3.430 5.353 Å, 71.44 90.00 90.00°
Site moments in Bohr magnetons follow the coordinates.
Atoms (fractional coordinates):
1 Mn 0.000 0.483 0.408  3.81
2 Cu 0.000 0.183 0.006  0.04
3 Y 0.500 0.781 0.811  -0.10
4 Cu 0.500 0.052 0.276  0.05

Output
Total magnetic moment   3.894 μB per formula unit
E   -23.50 eV per cell
ΔE_f   0.08 eV/atom
SG   Pm

=====

(2)
A plane-wave DFT calculation with PBE was carried out for a geometry-optimized Ni2OsRh2 structure.

Cell: 6.861 6.861 2.784 Å, 90.00 90.00 90.00°
Atoms (fractional coordinates):
1 Ni 0.625 0.125 0.000
2 Os 0.000 0.000 0.000
3 Ni 0.875 0.625 0.000
4 Rh 0.826 0.326 0.500
5 Ni 0.125 0.375 0.000
6 Rh 0.174 0.674 0.500
7 Os 0.500 0.500 0.000
8 Rh 0.674 0.826 0.500
9 Rh 0.326 0.174 0.500
10 Ni 0.375 0.875 0.000

Output
Total magnetic moment   0.000 μB per formula unit
E   -71.70 eV per cell
Relative energy among the computed polymorphs   277 meV/atom
ΔE_f   0.33 eV/atom
SG   P4/mbm

=====

(3)
A plane-wave DFT calculation with PBE was carried out for a geometry-optimized Ba4Li2Pd structure.

Cell: 6.126 6.126 10.320 Å, 107.27 107.27 90.00°
Atoms (fractional coordinates):
1 Ba 0.000 0.500 0.000
2 Ba 0.500 0.000 0.000
3 Li 0.625 0.625 0.250
4 Pd 0.000 0.000 0.000
5 Ba 0.825 0.825 0.650
6 Ba 0.175 0.175 0.350
7 Li 0.375 0.375 0.750

Output
Total magnetic moment   0.000 μB per formula unit
E   -17.28 eV per cell
Relative energy among the computed polymorphs   77 meV/atom
ΔE_f   -0.08 eV/atom
SG   I4/mmm

=====

(4)
A plane-wave DFT calculation with PBE was carried out for a geometry-optimized Cs2Zn2CuSe4 structure.

Cell: 3.922 7.844 9.202 Å, 106.73 102.30 90.00°
Site moments in Bohr magnetons follow the coordinates.
Atoms (fractional coordinates):
1 Zn 0.678 0.000 0.356  0.00
2 Zn 0.322 0.000 0.644  0.00
3 Cs 0.881 0.488 0.762  0.00
4 Se 0.772 0.806 0.544  0.00
5 Se 0.228 0.194 0.456  0.00
6 Cu 0.000 0.000 0.000  0.12
7 Se 0.537 0.835 0.074  0.08
8 Se 0.463 0.165 0.926  0.08
9 Cs 0.119 0.512 0.238  0.00

Output
Total magnetic moment   0.415 μB per formula unit
E   -28.94 eV per cell
SG   C2/m
Formation energy without anion corrections   -0.739 eV per atom